a | # FeRu3S | Alexandria | PBE | relaxed
# Magnetic moment in μB per formula unit: 0.4
# Volume in Å³/f.u.: 77.96
data_FeRu3S
_symmetry_space_group_name_H-M 'P m -3 m'
_symmetry_Int_Tables_number 221
_symmetry_space_group_name_Hall '-P 4 2 3'
_cell_length_a 4.2720
_cell_length_b 4.2720
_cell_length_c 4.2720
_cell_angle_alpha 90.00
_cell_angle_beta 90.00
_cell_angle_gamma 90.00
loop_
_atom_site_label
_atom_site_type_symbol
_atom_site_fract_x
_atom_site_fract_y
_atom_site_fract_z
Fe1 Fe 0.0000 0.0000 0.0000
Ru1 Ru 0.0000 0.5000 0.5000
S1 S 0.5000 0.5000 0.5000

***

b | # FeRu3S | Alexandria | PBE | relaxed
# Magnetic moment in μB per formula unit: 0.0
# Volume in Å³/f.u.: 85.47
data_FeRu3S
_symmetry_space_group_name_H-M 'P m -3 m'
_symmetry_Int_Tables_number 221
_symmetry_space_group_name_Hall '-P 4 2 3'
_cell_length_a 4.4048
_cell_length_b 4.4048
_cell_length_c 4.4048
_cell_angle_alpha 90.00
_cell_angle_beta 90.00
_cell_angle_gamma 90.00
loop_
_atom_site_label
_atom_site_type_symbol
_atom_site_fract_x
_atom_site_fract_y
_atom_site_fract_z
Fe1 Fe 0.0000 0.0000 0.0000
Ru1 Ru 0.0000 0.0000 0.5000
S1 S 0.5000 0.5000 0.5000

***

Which of them is most stable, and which least? Most stable: a; least stable: b.

***

a | # FeSb2Ru | Alexandria | PBE | relaxed
# Magnetic moment in μB per formula unit: 2.7
# Volume in Å³/f.u.: 72.88
data_FeSb2Ru
_symmetry_space_group_name_H-M 'A m m 2'
_symmetry_Int_Tables_number 38
_cell_length_a 4.3406
_cell_length_b 3.4330
_cell_length_c 9.7818
_cell_angle_alpha 90.00
_cell_angle_beta 90.00
_cell_angle_gamma 90.00
loop_
_symmetry_equiv_pos_as_xyz
'x,y,z'
'-x,-y,z'
'-x,y,z'
'x,-y,z'
'x,y+1/2,z+1/2'
'-x,-y+1/2,z+1/2'
'-x,y+1/2,z+1/2'
'x,-y+1/2,z+1/2'
loop_
_atom_site_label
_atom_site_type_symbol
_atom_site_fract_x
_atom_site_fract_y
_atom_site_fract_z
Fe1 Fe 0.0000 0.0000 0.0000
Sb1 Sb 0.0000 0.0000 0.7209
Sb2 Sb 0.5000 0.0000 0.4358
Ru1 Ru 0.5000 0.0000 0.1547

***

b | # FeSb2Ru | Alexandria | PBE | relaxed
# Magnetic moment in μB per formula unit: 2.0
# Volume in Å³/f.u.: 68.69
data_FeSb2Ru
_symmetry_space_group_name_H-M 'P 4/m m m'
_symmetry_Int_Tables_number 123
_symmetry_space_group_name_Hall '-P 4 2'
_cell_length_a 4.6121
_cell_length_b 4.6121
_cell_length_c 3.2293
_cell_angle_alpha 90.00
_cell_angle_beta 90.00
_cell_angle_gamma 90.00
loop_
_atom_site_label
_atom_site_type_symbol
_atom_site_fract_x
_atom_site_fract_y
_atom_site_fract_z
Fe1 Fe 0.0000 0.0000 0.0000
Sb1 Sb 0.0000 0.5000 0.5000
Ru1 Ru 0.5000 0.5000 0.0000

***

c | # FeSb2Ru | Alexandria | PBE | relaxed
# Magnetic moment in μB per formula unit: 0.0
# Volume in Å³/f.u.: 97.17
data_FeSb2Ru
_symmetry_space_group_name_H-M 'I -4 2 d'
_symmetry_Int_Tables_number 122
_symmetry_space_group_name_Hall 'I -4 2bw'
_cell_length_a 5.7874
_cell_length_b 5.7874
_cell_length_c 11.6045
_cell_angle_alpha 90.00
_cell_angle_beta 90.00
_cell_angle_gamma 90.00
loop_
_atom_site_label
_atom_site_type_symbol
_atom_site_fract_x
_atom_site_fract_y
_atom_site_fract_z
Fe1 Fe 0.0000 0.0000 0.0000
Sb1 Sb 0.2355 0.2500 0.1250
Ru1 Ru 0.0000 0.0000 0.5000

***

d | # FeSb2Ru | Alexandria | PBE | relaxed
# Magnetic moment in μB per formula unit: 3.2
# Volume in Å³/f.u.: 85.74
data_FeSb2Ru
_symmetry_space_group_name_H-M 'R 3 m'
_symmetry_Int_Tables_number 160
_symmetry_space_group_name_Hall 'R 3 -2"'
_cell_length_a 3.1435
_cell_length_b 3.1435
_cell_length_c 30.0587
_cell_angle_alpha 90.00
_cell_angle_beta 90.00
_cell_angle_gamma 120.00
loop_
_atom_site_label
_atom_site_type_symbol
_atom_site_fract_x
_atom_site_fract_y
_atom_site_fract_z
Fe1 Fe 0.0000 0.0000 0.0000
Sb1 Sb 0.0000 0.0000 0.5378
Sb2 Sb 0.0000 0.0000 0.7342
Ru1 Ru 0.0000 0.0000 0.2719

***

Which of them is most stable, and which least? Most stable: a; least stable: c.

***

a | # FeSb2Ru | Alexandria | PBE | relaxed
# Magnetic moment in μB per formula unit: 1.5
# Volume in Å³/f.u.: 70.92
data_FeSb2Ru
_symmetry_space_group_name_H-M 'P m m 2'
_symmetry_Int_Tables_number 25
_cell_length_a 3.2457
_cell_length_b 3.9907
_cell_length_c 5.4749
_cell_angle_alpha 90.00
_cell_angle_beta 90.00
_cell_angle_gamma 90.00
loop_
_symmetry_equiv_pos_as_xyz
'x,y,z'
'-x,-y,z'
'-x,y,z'
'x,-y,z'
loop_
_atom_site_label
_atom_site_type_symbol
_atom_site_fract_x
_atom_site_fract_y
_atom_site_fract_z
Fe1 Fe 0.0000 0.0000 0.0000
Sb1 Sb 0.0000 0.0000 0.4941
Sb2 Sb 0.5000 0.5000 0.8668
Ru1 Ru 0.5000 0.5000 0.3455

***

b | # FeSb2Ru | Alexandria | PBE | relaxed
# Magnetic moment in μB per formula unit: 1.9
# Volume in Å³/f.u.: 71.34
data_FeSb2Ru
_symmetry_space_group_name_H-M 'R -3 m'
_symmetry_Int_Tables_number 166
_symmetry_space_group_name_Hall '-R 3 2"'
_cell_length_a 3.2316
_cell_length_b 3.2316
_cell_length_c 23.6648
_cell_angle_alpha 90.00
_cell_angle_beta 90.00
_cell_angle_gamma 120.00
loop_
_atom_site_label
_atom_site_type_symbol
_atom_site_fract_x
_atom_site_fract_y
_atom_site_fract_z
Fe1 Fe 0.0000 0.0000 0.0000
Sb1 Sb 0.0000 0.0000 0.2517
Ru1 Ru 0.0000 0.0000 0.5000

***

c | # FeSb2Ru | Alexandria | PBE | relaxed
# Magnetic moment in μB per formula unit: 2.9
# Volume in Å³/f.u.: 85.68
data_FeSb2Ru
_symmetry_space_group_name_H-M 'I m m 2'
_symmetry_Int_Tables_number 44
_cell_length_a 3.1142
_cell_length_b 4.1006
_cell_length_c 13.4181
_cell_angle_alpha 90.00
_cell_angle_beta 90.00
_cell_angle_gamma 90.00
loop_
_symmetry_equiv_pos_as_xyz
'x,y,z'
'-x,-y,z'
'-x,y,z'
'x,-y,z'
'x+1/2,y+1/2,z+1/2'
'-x+1/2,-y+1/2,z+1/2'
'-x+1/2,y+1/2,z+1/2'
'x+1/2,-y+1/2,z+1/2'
loop_
_atom_site_label
_atom_site_type_symbol
_atom_site_fract_x
_atom_site_fract_y
_atom_site_fract_z
Fe1 Fe 0.0000 0.0000 0.0000
Sb1 Sb 0.0000 0.0000 0.5668
Sb2 Sb 0.0000 0.5000 0.3121
Ru1 Ru 0.0000 0.5000 0.8909

***

Which of them is most stable, and which least? Most stable: a; least stable: b.

***

a | # FeSb2Ru | Alexandria | PBE | relaxed
# Magnetic moment in μB per formula unit: 2.1
# Volume in Å³/f.u.: 68.66
data_FeSb2Ru
_symmetry_space_group_name_H-M 'F m -3 m'
_symmetry_Int_Tables_number 225
_symmetry_space_group_name_Hall '-F 4 2 3'
_cell_length_a 6.5000
_cell_length_b 6.5000
_cell_length_c 6.5000
_cell_angle_alpha 90.00
_cell_angle_beta 90.00
_cell_angle_gamma 90.00
loop_
_atom_site_label
_atom_site_type_symbol
_atom_site_fract_x
_atom_site_fract_y
_atom_site_fract_z
Fe1 Fe 0.0000 0.0000 0.0000
Sb1 Sb 0.2500 0.2500 0.2500
Ru1 Ru 0.0000 0.0000 0.5000

***

b | # FeSb2Ru | Alexandria | PBE | relaxed
# Magnetic moment in μB per formula unit: 2.3
# Volume in Å³/f.u.: 72.34
data_FeSb2Ru
_symmetry_space_group_name_H-M 'I -4 m 2'
_symmetry_Int_Tables_number 119
_symmetry_space_group_name_Hall 'I -4 -2'
_cell_length_a 3.8645
_cell_length_b 3.8645
_cell_length_c 9.6873
_cell_angle_alpha 90.00
_cell_angle_beta 90.00
_cell_angle_gamma 90.00
loop_
_atom_site_label
_atom_site_type_symbol
_atom_site_fract_x
_atom_site_fract_y
_atom_site_fract_z
Fe1 Fe 0.0000 0.0000 0.0000
Sb1 Sb 0.0000 0.0000 0.5000
Sb2 Sb 0.0000 0.5000 0.2500
Ru1 Ru 0.0000 0.5000 0.7500

***

Which of them is most stable, and which least? Most stable: a; least stable: b.

***

a | # FeSb4Ru | Alexandria | PBE | relaxed
# Magnetic moment in μB per formula unit: 5.5
# Volume in Å³/f.u.: 153.39
data_FeSb4Ru
_symmetry_space_group_name_H-M 'F -4 3 m'
_symmetry_Int_Tables_number 216
_symmetry_space_group_name_Hall 'F -4 2 3'
_cell_length_a 8.4973
_cell_length_b 8.4973
_cell_length_c 8.4973
_cell_angle_alpha 90.00
_cell_angle_beta 90.00
_cell_angle_gamma 90.00
loop_
_atom_site_label
_atom_site_type_symbol
_atom_site_fract_x
_atom_site_fract_y
_atom_site_fract_z
Fe1 Fe 0.0000 0.0000 0.0000
Sb1 Sb 0.1249 0.1249 0.3751
Ru1 Ru 0.2500 0.2500 0.7500

***

b | # FeSb4Ru | Alexandria | PBE | relaxed
# Magnetic moment in μB per formula unit: 1.9
# Volume in Å³/f.u.: 133.44
data_FeSb4Ru
_symmetry_space_group_name_H-M 'P 1 21/c 1'
_symmetry_Int_Tables_number 14
_cell_length_a 6.4595
_cell_length_b 6.4556
_cell_length_c 6.4021
_cell_angle_alpha 90.00
_cell_angle_beta 91.46
_cell_angle_gamma 90.00
loop_
_symmetry_equiv_pos_as_xyz
'x,y,z'
'-x,-y,-z'
'-x,y+1/2,-z+1/2'
'x,-y+1/2,z+1/2'
loop_
_atom_site_label
_atom_site_type_symbol
_atom_site_fract_x
_atom_site_fract_y
_atom_site_fract_z
Fe1 Fe 0.0000 0.0000 0.0000
Sb1 Sb 0.1303 0.1368 0.3713
Sb2 Sb 0.3631 0.6320 0.3657
Ru1 Ru 0.5000 0.0000 0.5000

***

Which of them is most stable, and which least? Most stable: b; least stable: a.

***

a | # FeSbTe2Ru | Alexandria | PBE | relaxed
# Magnetic moment in μB per formula unit: 2.6
# Volume in Å³/f.u.: 138.90
data_FeSbTe2Ru
_symmetry_space_group_name_H-M 'P 4/m m m'
_symmetry_Int_Tables_number 123
_symmetry_space_group_name_Hall '-P 4 2'
_cell_length_a 5.2821
_cell_length_b 5.2821
_cell_length_c 4.9783
_cell_angle_alpha 90.00
_cell_angle_beta 90.00
_cell_angle_gamma 90.00
loop_
_atom_site_label
_atom_site_type_symbol
_atom_site_fract_x
_atom_site_fract_y
_atom_site_fract_z
Fe1 Fe 0.0000 0.0000 0.0000
Sb1 Sb 0.5000 0.5000 0.0000
Te1 Te 0.0000 0.5000 0.5000
Ru1 Ru 0.5000 0.5000 0.5000

***

b | # FeSbTe2Ru | Alexandria | PBE | relaxed
# Magnetic moment in μB per formula unit: 0.3
# Volume in Å³/f.u.: 114.60
data_FeSbTe2Ru
_symmetry_space_group_name_H-M 'P 4/m m m'
_symmetry_Int_Tables_number 123
_symmetry_space_group_name_Hall '-P 4 2'
_cell_length_a 4.9097
_cell_length_b 4.9097
_cell_length_c 4.7539
_cell_angle_alpha 90.00
_cell_angle_beta 90.00
_cell_angle_gamma 90.00
loop_
_atom_site_label
_atom_site_type_symbol
_atom_site_fract_x
_atom_site_fract_y
_atom_site_fract_z
Fe1 Fe 0.0000 0.0000 0.0000
Sb1 Sb 0.0000 0.0000 0.5000
Te1 Te 0.0000 0.5000 0.0000
Ru1 Ru 0.5000 0.5000 0.5000

***

Which of them is most stable, and which least? Most stable: a; least stable: b.

***

a | # ScFe2Ru2 | Alexandria | PBE | relaxed
# Magnetic moment in μB per formula unit: 4.1
# Volume in Å³/f.u.: 79.57
data_ScFe2Ru2
_symmetry_space_group_name_H-M 'I 4/m m m'
_symmetry_Int_Tables_number 139
_symmetry_space_group_name_Hall '-I 4 2'
_cell_length_a 3.9426
_cell_length_b 3.9426
_cell_length_c 10.2381
_cell_angle_alpha 90.00
_cell_angle_beta 90.00
_cell_angle_gamma 90.00
loop_
_atom_site_label
_atom_site_type_symbol
_atom_site_fract_x
_atom_site_fract_y
_atom_site_fract_z
Sc1 Sc 0.0000 0.0000 0.0000
Fe1 Fe 0.0000 0.5000 0.2500
Ru1 Ru 0.0000 0.0000 0.3857

***

b | # ScFe2Ru2 | Alexandria | PBE | relaxed
# Magnetic moment in μB per formula unit: 0.0
# Volume in Å³/f.u.: 69.00
data_ScFe2Ru2
_symmetry_space_group_name_H-M 'P 4/m b m'
_symmetry_Int_Tables_number 127
_symmetry_space_group_name_Hall '-P 4 2ab'
_cell_length_a 7.1013
_cell_length_b 7.1013
_cell_length_c 2.7365
_cell_angle_alpha 90.00
_cell_angle_beta 90.00
_cell_angle_gamma 90.00
loop_
_atom_site_label
_atom_site_type_symbol
_atom_site_fract_x
_atom_site_fract_y
_atom_site_fract_z
Sc1 Sc 0.0000 0.0000 0.0000
Fe1 Fe 0.1171 0.3829 0.0000
Ru1 Ru 0.1765 0.6765 0.5000

***

Which of them is most stable, and which least? Most stable: b; least stable: a.

***

a | # FeRuSe | Alexandria | PBE | relaxed
# Magnetic moment in μB per formula unit: 3.1
# Volume in Å³/f.u.: 49.56
data_FeRuSe
_symmetry_space_group_name_H-M 'F -4 3 m'
_symmetry_Int_Tables_number 216
_symmetry_space_group_name_Hall 'F -4 2 3'
_cell_length_a 5.8308
_cell_length_b 5.8308
_cell_length_c 5.8308
_cell_angle_alpha 90.00
_cell_angle_beta 90.00
_cell_angle_gamma 90.00
loop_
_atom_site_label
_atom_site_type_symbol
_atom_site_fract_x
_atom_site_fract_y
_atom_site_fract_z
Fe1 Fe 0.0000 0.0000 0.0000
Ru1 Ru 0.2500 0.2500 0.7500
Se1 Se 0.0000 0.0000 0.5000

***

b | # FeRuSe | Alexandria | PBE | relaxed
# Magnetic moment in μB per formula unit: 2.2
# Volume in Å³/f.u.: 41.78
data_FeRuSe
_symmetry_space_group_name_H-M 'P 3 m 1'
_symmetry_Int_Tables_number 156
_cell_length_a 4.0248
_cell_length_b 4.0248
_cell_length_c 2.9785
_cell_angle_alpha 90.00
_cell_angle_beta 90.00
_cell_angle_gamma 120.00
loop_
_symmetry_equiv_pos_as_xyz
'x,y,z'
'-y,x-y,z'
'-x+y,-x,z'
'-y,-x,z'
'-x+y,y,z'
'x,x-y,z'
loop_
_atom_site_label
_atom_site_type_symbol
_atom_site_fract_x
_atom_site_fract_y
_atom_site_fract_z
Fe1 Fe 0.0000 0.0000 0.0000
Ru1 Ru 0.6667 0.3333 0.4993
Se1 Se 0.3333 0.6667 0.9971

***

Which of them is most stable, and which least? Most stable: a; least stable: b.